No. 1
Entry from the Alexandria database: crystalline Na2CeThSe4 at its relaxed geometry (GGA-PBE).

Summary:
DOS(E_F) ... 1.12 states/eV per atom
Electronic total energy ... -5.293 eV/atom
Symmetry ... P2/m (10)

```
8
Lattice="7.341 0.000 0.000 0.000 4.230 0.000 -2.437 0.000 7.086" Properties=species:S:1:pos:R:3 pbc="T T T"
Na 0.000 0.000 0.000
Na 3.670 2.115 0.000
Ce -1.218 2.115 3.543
Th 2.452 0.000 3.543
Se 0.041 0.000 5.246
Se 1.253 2.115 1.836
Se 3.651 2.115 5.250
Se 4.863 0.000 1.840
```

No. 2
Entry from the Alexandria database: crystalline OsPbAu at its relaxed geometry (GGA-PBE).

Summary:
DOS(E_F) ... 1.22 states/eV per atom
Electronic total energy ... -5.177 eV/atom
Formation energy ... 20.63 kcal/mol of atoms
Symmetry ... P3m1 (156)

```
3
Lattice="3.099 0.000 0.000 -1.550 2.684 0.000 0.000 0.000 7.113" Properties=species:S:1:pos:R:3 pbc="T T T"
Os 0.000 0.000 0.000
Pb 1.550 0.895 2.277
Au 0.000 1.789 4.940
```

No. 3
Entry from the Alexandria database: crystalline Nb3V3Re at its relaxed geometry (GGA-PBE).

Summary:
DOS(E_F) ... 1.05 states/eV per atom
Electronic total energy ... -9.769 eV/atom
Formation energy ... 5.37 kcal/mol of atoms
Symmetry ... R3m (160)

```
7
Lattice="4.243 2.450 1.871 -4.243 2.450 1.871 0.000 -4.900 1.871" Properties=species:S:1:pos:R:3 pbc="T T T"
Nb 0.000 -2.221 1.871
Nb -1.924 1.111 1.871
Nb 1.924 1.111 1.871
V -2.150 -1.242 2.905
V 2.150 -1.242 2.905
V 0.000 2.483 2.905
Re 0.000 0.000 3.943
```

No. 4
Entry from the Alexandria database: crystalline Zr3Fe2Tc at its relaxed geometry (GGA-PBE).

Summary:
DOS(E_F) ... 0.49 states/eV per atom
Electronic total energy ... -9.066 eV/atom
Formation energy ... -5.62 kcal/mol of atoms
Symmetry ... P4/mmm (123)

```
6
Lattice="3.223 0.000 0.000 0.000 3.223 0.000 0.000 0.000 9.623" Properties=species:S:1:pos:R:3 pbc="T T T"
Zr 0.000 0.000 0.000
Zr 0.000 0.000 3.168
Zr 0.000 0.000 6.456
Fe 1.611 1.611 1.552
Fe 1.611 1.611 8.071
Tc 1.611 1.611 4.812
```

No. 5
Entry from the Alexandria database: crystalline Zn2P7Ru12 at its relaxed geometry (GGA-PBE).

Summary:
DOS(E_F) ... 0.60 states/eV per atom
Electronic total energy ... -7.672 eV/atom
Formation energy ... -10.30 kcal/mol of atoms
Symmetry ... P-6 (174)

```
21
Lattice="9.497 0.000 0.000 -4.749 8.225 0.000 0.000 0.000 3.753" Properties=species:S:1:pos:R:3 pbc="T T T"
Zn 0.000 0.000 0.000
Zn 0.000 5.483 1.876
P -1.458 3.425 0.000
P 1.447 2.102 1.876
P -1.053 7.775 0.000
P 2.511 5.250 0.000
P 4.749 2.742 0.000
P 6.954 0.202 1.876
P 5.846 5.921 1.876
Ru -0.818 1.902 1.876
Ru -2.051 5.721 0.000
Ru -2.693 7.983 1.876
Ru 0.820 3.589 0.000
Ru 2.788 1.702 0.000
Ru 4.666 0.719 1.876
Ru 3.038 3.824 1.876
Ru 1.231 7.141 0.000
Ru 3.511 6.565 1.876
Ru 6.630 1.564 0.000
Ru 4.828 4.960 0.000
Ru 6.542 3.682 1.876
```

No. 6
Entry from the Alexandria database: crystalline TlRuPt2O8 at its relaxed geometry (GGA-PBE).

Summary:
DOS(E_F) ... 0.46 states/eV per atom
Electronic total energy ... -5.446 eV/atom
Symmetry ... P-3 (147)

```
12
Lattice="5.610 0.000 0.000 -2.805 4.858 0.000 0.000 0.000 6.966" Properties=species:S:1:pos:R:3 pbc="T T T"
Tl 0.000 0.000 0.000
Ru 0.000 0.000 3.483
Pt 0.000 3.239 3.118
Pt 2.805 1.619 3.848
O -0.579 1.731 4.341
O -1.016 4.494 4.341
O 0.000 3.239 1.291
O 1.210 1.367 2.624
O 1.595 3.491 4.341
O 2.805 1.619 5.674
O 3.821 0.364 2.624
O 3.384 3.127 2.624
```